# 1
The following is a PBE-GGA calculation of K2RuAu after structural relaxation, from the Alexandria database.

Computed properties:
The calculation puts the total energy at -2.901 eV per atom. As for the density of states at the Fermi level: 1.2122 states/eV/atom. The calculated formation energy comes out at 786 meV/atom.

```
data_K2RuAu
_chemical_formula_sum 'K4 Ru2 Au2'
_cell_length_a 11.631
_cell_length_b 11.631
_cell_length_c 8.617
_cell_angle_alpha 47.55
_cell_angle_beta 47.55
_cell_angle_gamma 90.00
_symmetry_space_group_name_H-M 'P 1'
_symmetry_Int_Tables_number 1
_symmetry_space_group_name_Hall 'P 1'
loop_
_atom_site_label
_atom_site_type_symbol
_atom_site_fract_x
_atom_site_fract_y
_atom_site_fract_z
_atom_site_occupancy
K1 K 0.875 0.029 0.750 1
K2 K 0.971 0.625 0.250 1
K3 K 0.375 0.221 0.750 1
K4 K 0.779 0.125 0.250 1
Au1 Au 0.000 0.000 0.000 1
Au2 Au 0.750 0.250 0.500 1
Ru1 Ru 0.500 0.500 0.000 1
Ru2 Ru 0.250 0.750 0.500 1
```

# 2
The following is a PBE-GGA calculation of KRu2Au after structural relaxation, from the Alexandria database.

Computed properties:
The calculation puts the total energy at -4.798 eV per atom. As for the density of states at the Fermi level: 1.2746 states/eV/atom. The calculated formation energy comes out at 934 meV/atom.

```
data_KRu2Au
_chemical_formula_sum 'K1 Ru2 Au1'
_cell_length_a 10.611
_cell_length_b 10.611
_cell_length_c 10.611
_cell_angle_alpha 15.27
_cell_angle_beta 15.27
_cell_angle_gamma 15.27
_symmetry_space_group_name_H-M 'P 1'
_symmetry_Int_Tables_number 1
_symmetry_space_group_name_Hall 'P 1'
loop_
_atom_site_label
_atom_site_type_symbol
_atom_site_fract_x
_atom_site_fract_y
_atom_site_fract_z
_atom_site_occupancy
Au1 Au 0.250 0.250 0.250 1
Ru1 Ru 0.991 0.991 0.991 1
Ru2 Ru 0.509 0.509 0.509 1
K1 K 0.750 0.750 0.750 1
```